Ba3Ga2Cu after structural relaxation. Source: Alexandria, functional PBE.

Calculated values
The total DFT energy (no corrections) comes out at -35.0 eV/cell. As for the symmetry: C2/c (15). The calculation puts the formation energy at -0.2599 eV/atom.

abc: 7.7133 7.7133 7.0561
angles: 98.06 98.06 92.43
Positions (direct):
Ba: 0.0953 0.9047 0.7500
Ba: 0.2354 0.4401 0.9278
Ba: 0.4401 0.2354 0.4278
Ba: 0.5599 0.7646 0.5722
Ba: 0.7646 0.5599 0.0722
Ba: 0.9047 0.0953 0.2500
Ga: 0.1260 0.5433 0.4128
Ga: 0.4567 0.8740 0.0872
Ga: 0.5433 0.1260 0.9128
Ga: 0.8740 0.4567 0.5872
Cu: 0.2088 0.7912 0.2500
Cu: 0.7912 0.2088 0.7500